# EuTlAs2 PBE optimized geometry
data_EuTlAs2
_symmetry_space_group_name_H-M 'P 4/m m m'
_symmetry_Int_Tables_number 123
_symmetry_space_group_name_Hall '-P 4 2'
_cell_length_a 4.7308
_cell_length_b 4.7308
_cell_length_c 4.3119
_cell_angle_alpha 90.00
_cell_angle_beta 90.00
_cell_angle_gamma 90.00
loop_
_atom_site_label
_atom_site_fract_x
_atom_site_fract_y
_atom_site_fract_z
Eu1 0.0000 0.0000 0.0000
Tl1 0.5000 0.5000 0.0000
As1 0.0000 0.5000 0.5000
# Excess energy over the best structure of this formula in the dataset   0.000 eV per atom
# Formation energy from the elements   -0.4465 eV per atom
# Calculated volume   24.1 Å³ per atom

***

# K2RbPu2O7 PBE optimized geometry
data_K2RbPu2O7
_symmetry_space_group_name_H-M 'I 4/m m m'
_symmetry_Int_Tables_number 139
_symmetry_space_group_name_Hall '-I 4 2'
_cell_length_a 4.3105
_cell_length_b 4.3105
_cell_length_c 22.0317
_cell_angle_alpha 90.00
_cell_angle_beta 90.00
_cell_angle_gamma 90.00
loop_
_atom_site_label
_atom_site_fract_x
_atom_site_fract_y
_atom_site_fract_z
K1 0.0000 0.0000 0.1899
Rb1 0.0000 0.0000 0.0000
Pu1 0.0000 0.0000 0.4027
O1 0.0000 0.0000 0.3140
O2 0.0000 0.0000 0.5000
O3 0.0000 0.5000 0.0970
# Calculated volume   17.1 Å³ per atom
# VASP energy   -190.659 eV for the cell shown

***

# MgSn2F PBE optimized geometry
data_MgSn2F
_symmetry_space_group_name_H-M 'F m -3 m'
_symmetry_Int_Tables_number 225
_symmetry_space_group_name_Hall '-F 4 2 3'
_cell_length_a 6.9496
_cell_length_b 6.9496
_cell_length_c 6.9496
_cell_angle_alpha 90.00
_cell_angle_beta 90.00
_cell_angle_gamma 90.00
loop_
_atom_site_label
_atom_site_fract_x
_atom_site_fract_y
_atom_site_fract_z
Mg1 0.0000 0.0000 0.0000
Sn1 0.2500 0.2500 0.2500
F1 0.0000 0.0000 0.5000
# Excess energy over the best structure of this formula in the dataset   0.000 eV per atom
# Calculated volume   21.0 Å³ per atom

***

# In2PAu PBE optimized geometry
data_In2PAu
_symmetry_space_group_name_H-M 'P m m m'
_symmetry_Int_Tables_number 47
_cell_length_a 3.8231
_cell_length_b 4.1465
_cell_length_c 5.5600
_cell_angle_alpha 90.00
_cell_angle_beta 90.00
_cell_angle_gamma 90.00
loop_
_symmetry_equiv_pos_as_xyz
'x,y,z'
'-x,-y,-z'
'-x,-y,z'
'x,y,-z'
'x,-y,-z'
'-x,y,z'
'-x,y,-z'
'x,-y,z'
loop_
_atom_site_label
_atom_site_fract_x
_atom_site_fract_y
_atom_site_fract_z
In1 0.0000 0.0000 0.0000
In2 0.0000 0.5000 0.5000
P1 0.5000 0.0000 0.5000
Au1 0.5000 0.5000 0.0000
# Formation energy from the elements   0.1482 eV per atom
# Calculated volume   22.0 Å³ per atom

***

# Th2BTeRh6 PBE optimized geometry
data_Th2BTeRh6
_symmetry_space_group_name_H-M 'P 4/m m m'
_symmetry_Int_Tables_number 123
_symmetry_space_group_name_Hall '-P 4 2'
_cell_length_a 4.6604
_cell_length_b 4.6604
_cell_length_c 8.9000
_cell_angle_alpha 90.00
_cell_angle_beta 90.00
_cell_angle_gamma 90.00
loop_
_atom_site_label
_atom_site_fract_x
_atom_site_fract_y
_atom_site_fract_z
Th1 0.0000 0.0000 0.2352
B1 0.5000 0.5000 0.0000
Te1 0.5000 0.5000 0.5000
Rh1 0.0000 0.5000 0.0000
Rh2 0.0000 0.5000 0.5000
Rh3 0.5000 0.5000 0.2155
# Calculated volume   19.3 Å³ per atom
# VASP energy   -71.862 eV for the cell shown

***

# Ba2In4Ga3Bi PBE optimized geometry
data_Ba2In4Ga3Bi
_symmetry_space_group_name_H-M 'P -4 m 2'
_symmetry_Int_Tables_number 115
_cell_length_a 5.1050
_cell_length_b 5.1050
_cell_length_c 11.3306
_cell_angle_alpha 90.00
_cell_angle_beta 90.00
_cell_angle_gamma 90.00
loop_
_symmetry_equiv_pos_as_xyz
'x,y,z'
'y,-x,-z'
'-x,-y,z'
'-y,x,-z'
'-x,y,z'
'-y,-x,-z'
'x,-y,z'
'y,x,-z'
loop_
_atom_site_label
_atom_site_fract_x
_atom_site_fract_y
_atom_site_fract_z
Ba1 0.0000 0.5000 0.2455
In1 0.0000 0.0000 0.0000
In2 0.0000 0.5000 0.6403
In3 0.5000 0.5000 0.0000
Ga1 0.0000 0.5000 0.8804
Ga2 0.5000 0.5000 0.5000
Bi1 0.0000 0.0000 0.5000
# Formation energy from the elements   -0.3390 eV per atom
# Calculated volume   29.5 Å³ per atom

***

# La7Dy3Ho PBE optimized geometry
data_La7Dy3Ho
_symmetry_space_group_name_H-M 'C 1 2/m 1'
_symmetry_Int_Tables_number 12
_cell_length_a 12.9006
_cell_length_b 11.5888
_cell_length_c 6.0158
_cell_angle_alpha 90.00
_cell_angle_beta 117.77
_cell_angle_gamma 90.00
loop_
_symmetry_equiv_pos_as_xyz
'x,y,z'
'-x,-y,-z'
'-x,y,-z'
'x,-y,z'
'x+1/2,y+1/2,z'
'-x+1/2,-y+1/2,-z'
'-x+1/2,y+1/2,-z'
'x+1/2,-y+1/2,z'
loop_
_atom_site_label
_atom_site_fract_x
_atom_site_fract_y
_atom_site_fract_z
La1 0.0000 0.0000 0.0000
La2 0.1934 0.2882 0.6932
La3 0.2103 0.5000 0.2092
Dy1 0.0000 0.2950 0.0000
Dy2 0.0000 0.5000 0.5000
Ho1 0.0000 0.0000 0.5000
# Excess energy over the best structure of this formula in the dataset   0.148 eV per atom
# Formation energy from the elements   0.2149 eV per atom
# Calculated volume   36.2 Å³ per atom

***

# In2SbMo PBE optimized geometry
data_In2SbMo
_symmetry_space_group_name_H-M 'I m m 2'
_symmetry_Int_Tables_number 44
_cell_length_a 2.9957
_cell_length_b 4.8951
_cell_length_c 13.4291
_cell_angle_alpha 90.00
_cell_angle_beta 90.00
_cell_angle_gamma 90.00
loop_
_symmetry_equiv_pos_as_xyz
'x,y,z'
'-x,-y,z'
'-x,y,z'
'x,-y,z'
'x+1/2,y+1/2,z+1/2'
'-x+1/2,-y+1/2,z+1/2'
'-x+1/2,y+1/2,z+1/2'
'x+1/2,-y+1/2,z+1/2'
loop_
_atom_site_label
_atom_site_fract_x
_atom_site_fract_y
_atom_site_fract_z
In1 0.0000 0.0000 0.0000
In2 0.0000 0.5000 0.1767
Sb1 0.0000 0.0000 0.3666
Mo1 0.0000 0.5000 0.6886
# Calculated volume   24.6 Å³ per atom
# VASP energy   -38.796 eV for the cell shown